Entry 1:
## CsMoBr3 (PBE)

Data for an optimized crystal structure of CsMoBr3.

As for the crystal system: orthorhombic. For the calculated total energy, the calculation gives -4.071 eV per atom.

It has space group Pnma (No. 62), with a = 7.764 Å, b = 10.956 Å, c = 7.756 Å, α = 90.00°, β = 90.00° and γ = 90.00°. The asymmetric unit holds Cs at (0.001, 0.250, 0.001), Mo at (0.000, 0.000, 0.500), Br at (0.002, 0.250, 0.501) and Br at (0.248, 0.501, 0.753).


Entry 2:
## TmIrAu (PBE)

Data for an optimized crystal structure of TmIrAu.

As for the crystal system: cubic. The calculation puts the formation energy at -0.089 eV/atom. For the energy above the most stable polymorph in this dataset, the calculation gives 299 meV per atom.

It has space group F-43m (No. 216), with a = 6.451 Å, b = 6.451 Å, c = 6.451 Å, α = 90.00°, β = 90.00° and γ = 90.00°. The asymmetric unit holds Tm at (0.000, 0.000, 0.000), Ir at (0.250, 0.250, 0.250) and Au at (0.250, 0.250, 0.750).


Entry 3:
## TaMoS4 (PBE)

Data for an optimized crystal structure of TaMoS4.

As for the crystal system: monoclinic. For the energy above the most stable polymorph in this dataset, the calculation gives 143 meV per atom.

It has space group C2/m (No. 12), with a = 13.952 Å, b = 3.292 Å, c = 5.695 Å, α = 90.00°, β = 113.72° and γ = 90.00°. The asymmetric unit holds Ta at (0.000, 0.000, 0.000), Mo at (0.000, 0.500, 0.500), S at (0.121, 0.000, 0.456) and S at (0.122, 0.500, 0.953).